P | LiCrRe | PBE | optimized geometry

## Properties
ρ = 9.67 g/cm3

Unit cell a=7.0096 b=6.8306 c=2.6033 alpha=83.06 beta=75.31 gamma=21.63
With the nearest neighbours (Å) after each atom.
Fractional positions:
Cr1 0.0073 0.0073 0.9927  2 Re 2.50, 4 Cr 2.60, 2 Li 2.74
Li1 0.3341 0.3341 0.6659  4 Li 2.60, 2 Cr 2.74, 2 Re 2.76
Re1 0.6586 0.6586 0.3414  2 Cr 2.50, 4 Re 2.60, 2 Li 2.76

Q | LiCrRe | PBE | optimized geometry

## Properties
ρ = 10.29 g/cm3

Unit cell a=4.7548 b=4.7548 c=4.7548 alpha=142.51 beta=142.51 gamma=54.06
With the nearest neighbours (Å) after each atom.
Fractional positions:
Cr1 0.0120 0.0120 0.0000  4 Re 2.47, 5 Li 2.63-2.73
Li1 0.3348 0.3348 0.0000  5 Cr 2.63-2.73, 5 Re 2.65-2.70
Re1 0.6531 0.6531 0.0000  4 Cr 2.47, 5 Li 2.65-2.70

P has the most favorable energy; the next structure is 66 meV/atom above.